(1)
Below is a PBEsol-optimized structure of TcIr, with properties calculated at the meta-GGA SCAN level.

The total magnetization is 0.00 μB per cell. The density of states at the Fermi level is 3.772 states/eV/cell.

```
TcIr
1.0
4.930 -1.357 0.000
4.930 1.357 0.000
-1.529 0.000 6.235
Tc Ir
3 3
direct
0.000 0.000 0.000
0.057 0.057 0.612
0.387 0.387 0.278
0.338 0.338 0.668
0.663 0.663 0.332
0.722 0.722 0.946
```

***

(2)
Below is a PBEsol-optimized structure of TcIr, with properties calculated at the meta-GGA SCAN level.

The total magnetization is 0.00 μB per cell. The density of states at the Fermi level is 1.254 states/eV/cell.

```
TcIr
1.0
2.718 0.000 0.000
-1.359 2.354 0.000
0.000 0.000 4.344
Tc Ir
1 1
direct
0.000 0.000 0.000
0.667 0.333 0.500
```

***

(3)
Below is a PBEsol-optimized structure of TcIr, with properties calculated at the meta-GGA SCAN level.

The total magnetization is 0.00 μB per cell. The density of states at the Fermi level is 2.219 states/eV/cell.

```
TcIr
1.0
4.323 0.000 0.000
0.000 2.705 0.000
0.000 0.000 4.748
Tc Ir
2 2
direct
0.250 0.000 0.163
0.750 0.000 0.837
0.250 0.500 0.668
0.750 0.500 0.332
```

***

(4)
Below is a PBEsol-optimized structure of TcIr, with properties calculated at the meta-GGA SCAN level.

The total magnetization is 0.00 μB per cell. The density of states at the Fermi level is 2.228 states/eV/cell.

```
TcIr
1.0
2.723 0.000 0.000
0.000 4.312 0.000
0.000 0.000 4.742
Tc Ir
2 2
direct
0.250 0.250 0.086
0.750 0.750 0.914
0.250 0.750 0.417
0.750 0.250 0.583
```

***

Question: which arrangement is favored energetically? Ranking from most to least stable: (3), (1), (2), (4).

***

(1)
Below is a PBEsol-optimized structure of TcIr5, with properties calculated at the meta-GGA SCAN level.

The total magnetization is 0.00 μB per cell. The density of states at the Fermi level is 4.867 states/eV/cell.

```
TcIr5
1.0
4.359 0.000 0.000
0.000 1.364 7.087
0.000 -1.364 7.087
Tc Ir
1 5
direct
0.000 0.000 0.000
0.000 0.336 0.336
0.000 0.664 0.664
0.500 0.223 0.223
0.500 0.556 0.556
0.500 0.889 0.889
```

***

(2)
Below is a PBEsol-optimized structure of TcIr5, with properties calculated at the meta-GGA SCAN level.

The total magnetization is 0.00 μB per cell. The density of states at the Fermi level is 5.323 states/eV/cell.

```
TcIr5
1.0
4.721 0.000 0.000
-2.360 4.088 0.000
0.000 0.000 4.364
Tc Ir
1 5
direct
0.000 0.000 0.000
0.000 0.666 0.500
0.333 0.667 0.000
0.334 0.334 0.500
0.666 0.000 0.500
0.667 0.333 0.000
```

***

Question: which arrangement is favored energetically? Ranking from most to least stable: (2), (1).

***

(1)
Below is a PBEsol-optimized structure of TcIr5, with properties calculated at the meta-GGA SCAN level.

The total magnetization is 0.00 μB per cell. The density of states at the Fermi level is 4.820 states/eV/cell.

```
TcIr5
1.0
4.968 -1.362 0.000
4.968 1.362 0.000
-1.580 0.000 6.226
Tc Ir
1 5
direct
0.000 0.000 0.000
0.279 0.279 0.053
0.336 0.336 0.671
0.610 0.610 0.724
0.664 0.664 0.326
0.945 0.945 0.387
```

***

(2)
Below is a PBEsol-optimized structure of TcIr5, with properties calculated at the meta-GGA SCAN level.

The total magnetization is 0.00 μB per cell. The density of states at the Fermi level is 4.940 states/eV/cell.

```
TcIr5
1.0
1.913 -5.741 0.000
1.913 5.741 0.000
0.000 0.000 3.829
Tc Ir
1 5
direct
0.000 0.000 0.000
0.166 0.834 0.500
0.338 0.662 0.000
0.500 0.500 0.500
0.662 0.338 0.000
0.834 0.166 0.500
```

***

(3)
Below is a PBEsol-optimized structure of TcIr5, with properties calculated at the meta-GGA SCAN level.

The total magnetization is 0.00 μB per cell. The density of states at the Fermi level is 4.195 states/eV/cell.

```
TcIr5
1.0
2.705 0.000 0.000
0.000 2.705 0.000
0.000 0.000 11.503
Tc Ir
1 5
direct
0.000 0.000 0.000
0.000 0.000 0.335
0.000 0.000 0.665
0.500 0.500 0.164
0.500 0.500 0.500
0.500 0.500 0.836
```

***

Question: which arrangement is favored energetically? Ranking from most to least stable: (2), (3), (1).

***

(1)
Below is a PBEsol-optimized structure of Tc3Ir, with properties calculated at the meta-GGA SCAN level.

The total magnetization is 0.00 μB per cell. The density of states at the Fermi level is 14.149 states/eV/cell.

```
Tc3Ir
1.0
5.442 0.000 0.000
-2.721 4.713 0.000
0.000 0.000 8.683
Tc Ir
12 4
direct
0.000 0.500 0.000
0.000 0.500 0.500
0.169 0.339 0.250
0.169 0.831 0.250
0.339 0.169 0.750
0.500 0.000 0.000
0.500 0.000 0.500
0.500 0.500 0.000
0.500 0.500 0.500
0.661 0.831 0.250
0.831 0.169 0.750
0.831 0.661 0.750
0.000 0.000 0.000
0.000 0.000 0.500
0.333 0.667 0.750
0.667 0.333 0.250
```

***

(2)
Below is a PBEsol-optimized structure of Tc3Ir, with properties calculated at the meta-GGA SCAN level.

The total magnetization is 0.00 μB per cell. The density of states at the Fermi level is 3.217 states/eV/cell.

```
Tc3Ir
1.0
-1.356 4.322 2.371
1.356 -4.322 2.371
1.356 4.322 -2.371
Tc Ir
3 1
direct
0.000 0.000 0.000
0.080 0.330 0.750
0.581 0.330 0.250
0.498 0.998 0.500
```

***

(3)
Below is a PBEsol-optimized structure of Tc3Ir, with properties calculated at the meta-GGA SCAN level.

The total magnetization is 4.20 μB per cell. The density of states at the Fermi level is 4.681 states/eV/cell.

```
Tc3Ir
1.0
4.686 0.000 0.000
0.000 4.686 0.000
0.000 0.000 4.686
Tc Ir
3 1
direct
0.000 0.000 0.500
0.000 0.500 0.000
0.500 0.000 0.000
0.000 0.000 0.000
```

***

Question: which arrangement is favored energetically? Ranking from most to least stable: (2), (1), (3).

***

(1)
Below is a PBEsol-optimized structure of TcIr2, with properties calculated at the meta-GGA SCAN level.

The total magnetization is 0.00 μB per cell. The density of states at the Fermi level is 2.498 states/eV/cell.

```
TcIr2
1.0
2.702 0.000 0.000
-1.351 2.340 0.000
0.000 0.000 6.638
Tc Ir
1 2
direct
0.000 0.000 0.000
0.333 0.667 0.674
0.667 0.333 0.326
```

***

(2)
Below is a PBEsol-optimized structure of TcIr2, with properties calculated at the meta-GGA SCAN level.

The total magnetization is 0.00 μB per cell. The density of states at the Fermi level is 4.627 states/eV/cell.

```
TcIr2
1.0
4.943 -1.360 0.000
4.943 1.360 0.000
-1.538 0.000 6.227
Tc Ir
2 4
direct
0.000 0.000 0.000
0.667 0.667 0.331
0.276 0.276 0.055
0.334 0.334 0.664
0.611 0.611 0.722
0.948 0.948 0.384
```

***

(3)
Below is a PBEsol-optimized structure of TcIr2, with properties calculated at the meta-GGA SCAN level.

The total magnetization is 0.00 μB per cell. The density of states at the Fermi level is 3.524 states/eV/cell.

```
TcIr2
1.0
1.357 -7.111 0.000
1.357 7.111 0.000
0.000 0.000 4.334
Tc Ir
2 4
direct
0.112 0.888 0.750
0.888 0.112 0.250
0.224 0.776 0.250
0.446 0.554 0.750
0.554 0.446 0.250
0.776 0.224 0.750
```

***

(4)
Below is a PBEsol-optimized structure of TcIr2, with properties calculated at the meta-GGA SCAN level.

The total magnetization is 0.00 μB per cell. The density of states at the Fermi level is 7.838 states/eV/cell.

```
TcIr2
1.0
-1.915 1.915 11.418
1.915 -1.915 11.418
1.915 1.915 -11.418
Tc Ir
4 8
direct
0.290 0.540 0.750
0.460 0.710 0.750
0.540 0.290 0.250
0.710 0.460 0.250
0.041 0.791 0.250
0.124 0.374 0.750
0.209 0.959 0.250
0.374 0.124 0.250
0.626 0.876 0.750
0.791 0.041 0.750
0.876 0.626 0.250
0.959 0.209 0.750
```

***

Question: which arrangement is favored energetically? Ranking from most to least stable: (3), (4), (2), (1).

***

(1)
Below is a PBEsol-optimized structure of Tc5Ir, with properties calculated at the meta-GGA SCAN level.

The total magnetization is 0.00 μB per cell. The density of states at the Fermi level is 5.138 states/eV/cell.

```
Tc5Ir
1.0
4.326 0.000 0.000
0.000 1.359 7.106
0.000 -1.359 7.106
Tc Ir
5 1
direct
0.000 0.000 0.000
0.000 0.332 0.332
0.000 0.665 0.665
0.500 0.222 0.222
0.500 0.555 0.555
0.500 0.887 0.887
```

***

(2)
Below is a PBEsol-optimized structure of Tc5Ir, with properties calculated at the meta-GGA SCAN level.

The total magnetization is 0.00 μB per cell. The density of states at the Fermi level is 4.399 states/eV/cell.

```
Tc5Ir
1.0
4.725 0.000 0.000
-2.363 4.092 0.000
0.000 0.000 4.318
Tc Ir
5 1
direct
0.000 0.333 0.000
0.333 0.000 0.000
0.333 0.667 0.500
0.667 0.333 0.500
0.667 0.667 0.000
0.000 0.000 0.500
```

***

(3)
Below is a PBEsol-optimized structure of Tc5Ir, with properties calculated at the meta-GGA SCAN level.

The total magnetization is 0.00 μB per cell. The density of states at the Fermi level is 4.661 states/eV/cell.

```
Tc5Ir
1.0
4.931 -1.358 0.000
4.931 1.358 0.000
-1.523 0.000 6.237
Tc Ir
5 1
direct
0.000 0.000 0.000
0.056 0.056 0.613
0.390 0.390 0.279
0.668 0.668 0.332
0.724 0.724 0.947
0.334 0.334 0.668
```

***

Question: which arrangement is favored energetically? Ranking from most to least stable: (2), (3), (1).

***

(1)
Below is a PBEsol-optimized structure of TcTe2Ir, with properties calculated at the meta-GGA SCAN level.

The total magnetization is 0.00 μB per cell. The density of states at the Fermi level is 2.391 states/eV/cell.

```
TcTe2Ir
1.0
4.149 -1.633 0.000
4.149 1.633 0.000
-1.225 0.000 5.389
Tc Te Ir
1 2 1
direct
0.000 0.000 0.000
0.256 0.256 0.756
0.744 0.744 0.244
0.500 0.500 0.500
```

***

(2)
Below is a PBEsol-optimized structure of TcTe2Ir, with properties calculated at the meta-GGA SCAN level.

The total magnetization is 0.96 μB per cell. The density of states at the Fermi level is 3.694 states/eV/cell.

```
TcTe2Ir
1.0
3.000 0.000 0.000
0.000 4.568 0.000
-0.011 0.000 5.425
Tc Te Ir
1 2 1
direct
0.000 0.000 0.000
0.237 0.500 0.748
0.763 0.500 0.252
0.500 0.000 0.500
```

***

Question: which arrangement is favored energetically? Ranking from most to least stable: (1), (2).

***

(1)
Below is a PBEsol-optimized structure of TlTc2Ir, with properties calculated at the meta-GGA SCAN level.

The total magnetization is 0.00 μB per cell. The density of states at the Fermi level is 5.450 states/eV/cell.

```
TlTc2Ir
1.0
4.693 0.000 0.000
0.000 4.693 0.000
0.000 0.000 2.859
Tl Tc Ir
1 2 1
direct
0.000 0.000 0.000
0.000 0.500 0.500
0.500 0.000 0.500
0.500 0.500 0.000
```

***

(2)
Below is a PBEsol-optimized structure of TlTc2Ir, with properties calculated at the meta-GGA SCAN level.

The total magnetization is 0.00 μB per cell. The density of states at the Fermi level is 4.187 states/eV/cell.

```
TlTc2Ir
1.0
2.625 -4.213 0.000
2.625 4.213 0.000
0.000 0.000 2.828
Tl Tc Ir
1 2 1
direct
0.000 0.000 0.000
0.000 0.500 0.500
0.500 0.000 0.500
0.500 0.500 0.000
```

***

(3)
Below is a PBEsol-optimized structure of TlTc2Ir, with properties calculated at the meta-GGA SCAN level.

The total magnetization is 1.74 μB per cell. The density of states at the Fermi level is 3.106 states/eV/cell.

```
TlTc2Ir
1.0
0.000 3.156 3.156
3.156 0.000 3.156
3.156 3.156 0.000
Tl Tc Ir
1 2 1
direct
0.000 0.000 0.000
0.250 0.250 0.250
0.750 0.750 0.750
0.500 0.500 0.500
```

***

Question: which arrangement is favored energetically? Ranking from most to least stable: (2), (3), (1).